Entry 1:
Below is crystalline TaAgB4 at its relaxed geometry, with properties calculated at the GGA-PBE level.

It has space group Immm (No. 71), with a = 3.0675 Å, b = 5.2428 Å, c = 7.3423 Å, α = 90.00°, β = 90.00° and γ = 90.00°. The distinct sites, in fractional coordinates, are Ta at (0.0000, 0.0000, 0.0000), Ag at (0.0000, 0.0000, 0.5000) and B at (0.0000, 0.3262, 0.2624).

Its magnetization is 0.00 μB/f.u. The polymorph energy (0 for the lowest one) is 180.3 meV per atom. The total energy is -82.27 eV/cell.


Entry 2:
Below is crystalline TaAgB4 at its relaxed geometry, with properties calculated at the GGA-PBE level.

It has space group P6/mmm (No. 191), with a = 3.0293 Å, b = 3.0293 Å, c = 7.7781 Å, α = 90.00°, β = 90.00° and γ = 120.00°. The distinct sites, in fractional coordinates, are Ta at (0.0000, 0.0000, 0.0000), Ag at (0.0000, 0.0000, 0.5000) and B at (0.3333, 0.6667, 0.2150).

Its magnetization is 0.00 μB/f.u. The polymorph energy (0 for the lowest one) is 0.0 meV per atom. The total energy is -42.22 eV/cell.


Entry 3:
Below is crystalline TaAgB at its relaxed geometry, with properties calculated at the GGA-PBE level.

It has space group F-43m (No. 216), with a = 5.8867 Å, b = 5.8867 Å, c = 5.8867 Å, α = 90.00°, β = 90.00° and γ = 90.00°. The distinct sites, in fractional coordinates, are Ta at (0.0000, 0.0000, 0.0000), Ag at (0.2500, 0.2500, 0.7500) and B at (0.2500, 0.2500, 0.2500).

Its magnetization is 0.00 μB/f.u. The polymorph energy (0 for the lowest one) is 0.0 meV per atom. The total energy is -70.72 eV/cell.


Entry 4:
Below is crystalline TbAgB at its relaxed geometry, with properties calculated at the GGA-PBE level.

It has space group F-43m (No. 216), with a = 6.0662 Å, b = 6.0662 Å, c = 6.0662 Å, α = 90.00°, β = 90.00° and γ = 90.00°. The distinct sites, in fractional coordinates, are Tb at (0.0000, 0.0000, 0.0000), Ag at (0.0000, 0.0000, 0.5000) and B at (0.2500, 0.2500, 0.7500).

Its magnetization is 0.62 μB/f.u. The total energy is -54.84 eV/cell.


Entry 5:
Below is crystalline TbAgB4 at its relaxed geometry, with properties calculated at the GGA-PBE level.

It has space group Immm (No. 71), with a = 3.1612 Å, b = 5.4214 Å, c = 7.9692 Å, α = 90.00°, β = 90.00° and γ = 90.00°. The distinct sites, in fractional coordinates, are Tb at (0.0000, 0.0000, 0.0000), Ag at (0.0000, 0.0000, 0.5000) and B at (0.0000, 0.3199, 0.2601).

Its magnetization is 0.00 μB/f.u. The polymorph energy (0 for the lowest one) is 0.0 meV per atom. The total energy is -68.96 eV/cell.


Entry 6:
Below is crystalline TbAgB4 at its relaxed geometry, with properties calculated at the GGA-PBE level.

It has space group P6/mmm (No. 191), with a = 3.2271 Å, b = 3.2271 Å, c = 7.3412 Å, α = 90.00°, β = 90.00° and γ = 120.00°. The distinct sites, in fractional coordinates, are Tb at (0.0000, 0.0000, 0.0000), Ag at (0.0000, 0.0000, 0.5000) and B at (0.3333, 0.6667, 0.2545).

Its magnetization is 0.00 μB/f.u. The polymorph energy (0 for the lowest one) is 72.6 meV per atom. The total energy is -34.05 eV/cell.


Copy entry 1 word for word.
Below is crystalline TaAgB4 at its relaxed geometry, with properties calculated at the GGA-PBE level.

It has space group Immm (No. 71), with a = 3.0675 Å, b = 5.2428 Å, c = 7.3423 Å, α = 90.00°, β = 90.00° and γ = 90.00°. The distinct sites, in fractional coordinates, are Ta at (0.0000, 0.0000, 0.0000), Ag at (0.0000, 0.0000, 0.5000) and B at (0.0000, 0.3262, 0.2624).

Its magnetization is 0.00 μB/f.u. The polymorph energy (0 for the lowest one) is 180.3 meV per atom. The total energy is -82.27 eV/cell.


What did the fourth record say?
Below is crystalline TbAgB at its relaxed geometry, with properties calculated at the GGA-PBE level.

It has space group F-43m (No. 216), with a = 6.0662 Å, b = 6.0662 Å, c = 6.0662 Å, α = 90.00°, β = 90.00° and γ = 90.00°. The distinct sites, in fractional coordinates, are Tb at (0.0000, 0.0000, 0.0000), Ag at (0.0000, 0.0000, 0.5000) and B at (0.2500, 0.2500, 0.7500).

Its magnetization is 0.62 μB/f.u. The total energy is -54.84 eV/cell.


Among the records above, which one has the highest magnetization?
TbAgB


Which value of magnetization does entry 4 give?
0.62 μB/f.u.